(1)
Density functional theory data (GGA-PBE) for an optimized crystal structure of NaCo2Re.

Unit cell a=6.762 b=6.762 c=5.525 alpha=52.27 beta=52.27 gamma=90.00
Sites, in units of the cell vectors:
Re 0.000 0.000 0.000
Re 0.750 0.250 0.500
Co 0.674 0.125 0.250
Co 0.076 0.625 0.250
Co 0.375 0.326 0.750
Co 0.875 0.924 0.750
Na 0.500 0.500 0.000
Na 0.250 0.750 0.500

Summary:
- SG = No. 122
- offset from the most stable computed form (eV/f.u.) = 1.28
- crystal system = tetragonal

=====

(2)
Density functional theory data (GGA-PBE) for an optimized crystal structure of NaCo2Re.

Unit cell a=4.218 b=4.218 c=4.218 alpha=60.00 beta=60.00 gamma=60.00
Last column: magnetic moment on the atom in μB.
Sites, in units of the cell vectors:
Re 0.500 0.500 0.500  0.17
Co 0.250 0.250 0.250  0.97
Co 0.750 0.750 0.750  0.97
Na 0.000 0.000 0.000  -0.01

Summary:
- SG = No. 225
- offset from the most stable computed form (eV/f.u.) = 0.00
- crystal system = cubic

=====

(3)
Density functional theory data (GGA-PBE) for an optimized crystal structure of NaCoRe2Rh.

Unit cell a=4.391 b=4.391 c=4.482 alpha=90.00 beta=90.00 gamma=90.00
Last column: magnetic moment on the atom in μB.
Sites, in units of the cell vectors:
Na 0.000 0.000 0.500  0.00
Re 0.000 0.500 0.000  0.36
Re 0.500 0.000 0.000  0.36
Rh 0.500 0.500 0.500  0.14
Co 0.000 0.000 0.000  0.03

Summary:
- SG = No. 123
- crystal system = tetragonal

=====

(4)
Density functional theory data (GGA-PBE) for an optimized crystal structure of NaCoReRu2.

Unit cell a=4.554 b=4.410 c=4.554 alpha=90.00 beta=90.00 gamma=90.00
Last column: magnetic moment on the atom in μB.
Sites, in units of the cell vectors:
Na 0.500 0.500 0.500  -0.01
Re 0.000 0.500 0.000  0.88
Co 0.000 0.000 0.000  0.88
Ru 0.000 0.000 0.500  0.86
Ru 0.500 0.000 0.000  0.60

Summary:
- SG = No. 123
- crystal system = tetragonal

=====

(5)
Density functional theory data (GGA-PBE) for an optimized crystal structure of Na2CoReSn.

Unit cell a=5.009 b=4.462 c=5.009 alpha=90.00 beta=90.00 gamma=90.00
Last column: magnetic moment on the atom in μB.
Sites, in units of the cell vectors:
Re 0.000 0.500 0.000  1.27
Co 0.000 0.000 0.000  0.47
Sn 0.500 0.500 0.500  -0.05
Na 0.000 0.000 0.500  0.00
Na 0.500 0.000 0.000  -0.01

Summary:
- SG = No. 123
- crystal system = tetragonal

=====

(6)
Density functional theory data (GGA-PBE) for an optimized crystal structure of Na2TiCoRe.

Unit cell a=5.295 b=4.323 c=5.295 alpha=90.00 beta=90.00 gamma=90.00
Last column: magnetic moment on the atom in μB.
Sites, in units of the cell vectors:
Na 0.000 0.000 0.500  0.01
Na 0.500 0.000 0.000  0.01
Re 0.000 0.000 0.000  1.07
Co 0.000 0.500 0.000  0.70
Ti 0.500 0.500 0.500  0.12

Summary:
- SG = No. 123
- crystal system = tetragonal

=====

(7)
Density functional theory data (GGA-PBE) for an optimized crystal structure of NaTlCo2Re.

Unit cell a=4.798 b=4.901 c=4.798 alpha=90.00 beta=90.00 gamma=90.00
Last column: magnetic moment on the atom in μB.
Sites, in units of the cell vectors:
Re 0.500 0.500 0.500  3.10
Tl 0.000 0.000 0.000  -0.10
Co 0.000 0.000 0.500  1.52
Co 0.500 0.000 0.000  1.63
Na 0.000 0.500 0.000  -0.01

Summary:
- SG = No. 123
- crystal system = tetragonal

=====

(8)
Density functional theory data (GGA-PBE) for an optimized crystal structure of NaCoReW2.

Unit cell a=4.476 b=4.251 c=4.476 alpha=90.00 beta=90.00 gamma=90.00
Sites, in units of the cell vectors:
Re 0.500 0.500 0.500
Co 0.000 0.000 0.000
W 0.000 0.000 0.500
W 0.500 0.000 0.000
Na 0.000 0.500 0.000

Summary:
- SG = No. 123
- crystal system = tetragonal

=====

(9)
Density functional theory data (GGA-PBE) for an optimized crystal structure of NaCoRh3.

Unit cell a=4.415 b=4.415 c=4.415 alpha=90.00 beta=90.00 gamma=90.00
Last column: magnetic moment on the atom in μB.
Sites, in units of the cell vectors:
Co 0.500 0.500 0.500  -0.03
Rh 0.000 0.500 0.000  -0.07
Rh 0.000 0.000 0.500  -0.09
Rh 0.500 0.000 0.000  -0.04
Na 0.000 0.000 0.000  0.00

Summary:
- SG = No. 221
- offset from the most stable computed form (eV/f.u.) = 6.27
- crystal system = cubic

=====

(10)
Density functional theory data (GGA-PBE) for an optimized crystal structure of NaCo2Rh2.

Unit cell a=7.441 b=7.441 c=2.635 alpha=90.00 beta=90.00 gamma=90.00
Last column: magnetic moment on the atom in μB.
Sites, in units of the cell vectors:
Co 0.380 0.880 0.000  1.72
Co 0.880 0.620 0.000  1.75
Co 0.620 0.120 0.000  1.72
Co 0.120 0.380 0.000  1.75
Rh 0.169 0.669 0.500  0.68
Rh 0.669 0.831 0.500  0.67
Rh 0.831 0.331 0.500  0.68
Rh 0.331 0.169 0.500  0.67
Na 0.000 0.000 0.000  -0.01
Na 0.500 0.500 0.000  -0.01

Summary:
- SG = No. 127
- offset from the most stable computed form (eV/f.u.) = 0.00
- crystal system = tetragonal

=====

(11)
Density functional theory data (GGA-PBE) for an optimized crystal structure of NaCoRh2.

Unit cell a=7.117 b=7.117 c=5.677 alpha=51.18 beta=51.18 gamma=90.00
Last column: magnetic moment on the atom in μB.
Sites, in units of the cell vectors:
Co 0.000 0.000 0.000  1.99
Co 0.750 0.250 0.500  2.00
Rh 0.678 0.125 0.250  0.76
Rh 0.072 0.625 0.250  0.77
Rh 0.375 0.322 0.750  0.79
Rh 0.875 0.928 0.750  0.81
Na 0.500 0.500 0.000  -0.01
Na 0.250 0.750 0.500  -0.01

Summary:
- SG = No. 122
- offset from the most stable computed form (eV/f.u.) = 0.66
- crystal system = tetragonal

=====

(12)
Density functional theory data (GGA-PBE) for an optimized crystal structure of Na2CoRh.

Unit cell a=4.633 b=4.633 c=4.633 alpha=60.00 beta=60.00 gamma=60.00
Last column: magnetic moment on the atom in μB.
Sites, in units of the cell vectors:
Co 0.000 0.000 0.000  1.87
Rh 0.500 0.500 0.500  0.45
Na 0.250 0.250 0.250  -0.01
Na 0.750 0.750 0.750  -0.01

Summary:
- SG = No. 225
- offset from the most stable computed form (eV/f.u.) = 0.29
- crystal system = cubic

=====

Asked for size of the total moment across the records above, the calculation gives 0.00, 0.51, 0.20, 0.67, 0.37, 0.39, 1.31, 0.00, 0.04, 0.94, 0.90, 0.56 μB per atom in order.
Asked for calculated density across the records above, the calculation gives 8.58, 10.23, 10.71, 8.54, 6.08, 4.64, 7.82, 12.40, 7.54, 7.89, 7.18, 4.91 g/cm3 in order.
Asked for energy of formation across the records above, the calculation gives 4.220, 2.937, 8.064, 7.619, 5.532, 9.275, 10.758, 8.863, 10.412, 0.993, 2.422, 3.676 eV per formula unit in order.